No. 1
# Ac2AgBi3Rh4

A geometry-optimized Ac2AgBi3Rh4 structure (PBE-GGA, Alexandria).

```
Ac2AgBi3Rh4
1.0
-1.453 1.112 -3.997
2.046 -3.492 -1.715
-10.098 -6.792 1.782
Ac Ag Bi Rh
2 1 3 4
direct
0.500 0.000 0.268
0.000 0.500 0.732
0.500 0.500 0.500
0.000 0.000 0.500
0.500 0.000 0.872
0.000 0.500 0.128
0.500 0.500 0.000
0.000 0.000 0.000
0.500 0.000 0.653
0.000 0.500 0.347
```

energy relative to the elements: -451 kJ/mol of formula units
Fermi-level density of states: 5.0 states/eV/f.u.

=====

No. 2
# KLiCeI6

A geometry-optimized KLiCeI6 structure (PBE-GGA, Alexandria).

```
KLiCeI6
1.0
-0.607 -6.766 -3.815
6.094 1.302 4.677
-7.974 -6.102 12.090
K Li Ce I
2 2 2 12
direct
0.000 0.000 0.000
0.000 0.000 0.500
0.333 0.667 0.250
0.667 0.333 0.750
0.667 0.333 0.250
0.333 0.667 0.750
0.634 0.635 0.139
0.001 0.366 0.139
0.366 0.001 0.639
0.999 0.634 0.861
0.365 0.366 0.361
0.001 0.635 0.361
0.635 0.001 0.861
0.634 0.999 0.361
0.999 0.365 0.639
0.365 0.999 0.139
0.635 0.634 0.639
0.366 0.365 0.861
```

raw formation energy: -1.23 eV/atom

=====

No. 3
# NaLaIr2

A geometry-optimized NaLaIr2 structure (PBE-GGA, Alexandria).

```
NaLaIr2
1.0
-6.902 -3.795 0.587
1.391 -3.597 -6.893
-1.535 -5.714 -1.853
Na Ir La
2 4 2
direct
0.500 0.500 0.000
0.250 0.750 0.500
0.621 0.125 0.250
0.129 0.625 0.250
0.375 0.379 0.750
0.875 0.871 0.750
0.000 0.000 0.000
0.750 0.250 0.500
```

energy relative to the elements: 91 kJ/mol of formula units
Fermi-level density of states: 2.6 states/eV/f.u.
energy above the lowest structure with this stoichiometry: 125.6 meV/atom

=====

No. 4
# Sc8BiSb2

A geometry-optimized Sc8BiSb2 structure (PBE-GGA, Alexandria).

```
Sc8BiSb2
1.0
-2.090 -1.487 3.563
3.448 -6.832 -0.829
5.474 5.866 2.955
Sc Bi Sb
8 1 2
direct
0.410 0.535 0.819
0.680 0.913 0.361
0.844 0.767 0.687
0.957 0.260 0.913
0.156 0.233 0.313
0.320 0.087 0.639
0.590 0.465 0.181
0.043 0.740 0.087
0.500 0.000 0.000
0.786 0.328 0.572
0.214 0.672 0.428
```

Fermi-level density of states: 10.7 states/eV/f.u.
raw formation energy: -0.49 eV/atom

=====

No. 5
# ReHg2Sb

A geometry-optimized ReHg2Sb structure (PBE-GGA, Alexandria).

```
ReHg2Sb
1.0
3.020 0.000 0.000
0.000 4.991 0.000
0.000 0.000 5.548
Hg Re Sb
2 1 1
direct
0.000 0.000 0.007
0.000 0.000 0.493
0.500 0.500 0.250
0.500 0.500 0.750
```

Fermi-level density of states: 3.4 states/eV/f.u.
raw formation energy: 0.91 eV/atom

=====

No. 6
# Ac8InRh2

A geometry-optimized Ac8InRh2 structure (PBE-GGA, Alexandria).

```
Ac8InRh2
1.0
-3.956 -4.625 -0.314
4.904 -3.111 6.518
-5.675 6.225 2.290
Ac In Rh
8 1 2
direct
0.574 0.340 0.083
0.574 0.083 0.340
0.196 0.391 0.391
0.000 0.246 0.759
0.000 0.759 0.246
0.805 0.616 0.616
0.425 0.923 0.666
0.425 0.666 0.923
0.000 0.004 0.004
0.500 0.717 0.289
0.500 0.289 0.717
```

energy relative to the elements: -285 kJ/mol of formula units
Fermi-level density of states: 12.1 states/eV/f.u.
energy above the lowest structure with this stoichiometry: 0.0 meV/atom

=====

No. 7
# NaV3Rh

A geometry-optimized NaV3Rh structure (PBE-GGA, Alexandria).

```
NaV3Rh
1.0
-0.293 -1.870 -3.919
4.174 -1.202 0.261
-1.195 -3.741 1.875
Na Rh V
1 1 3
direct
0.000 0.000 0.000
0.500 0.500 0.500
0.000 0.500 0.000
0.000 0.000 0.500
0.500 0.000 0.000
```

energy relative to the elements: 1040 kJ/mol of formula units
Fermi-level density of states: 7.4 states/eV/f.u.
energy above the lowest structure with this stoichiometry: 1165.8 meV/atom

=====

No. 8
# Sm2Zn3Pb

A geometry-optimized Sm2Zn3Pb structure (PBE-GGA, Alexandria).

```
Sm2Zn3Pb
1.0
5.778 0.331 -1.419
-1.966 5.444 -1.419
-0.227 -0.344 8.851
Sm Zn Pb
4 6 2
direct
0.250 0.750 0.500
0.757 0.757 0.000
0.750 0.250 0.500
0.243 0.243 0.000
0.681 0.162 0.843
0.838 0.319 0.157
0.319 0.838 0.157
0.162 0.681 0.843
0.841 0.841 0.681
0.159 0.159 0.319
0.334 0.334 0.669
0.666 0.666 0.331
```

energy relative to the elements: -227 kJ/mol of formula units
Fermi-level density of states: 4.2 states/eV/f.u.
energy above the lowest structure with this stoichiometry: 0.0 meV/atom

=====

No. 9
# Tl5InPb7

A geometry-optimized Tl5InPb7 structure (PBE-GGA, Alexandria).

```
Tl5InPb7
1.0
-1.617 -5.765 -1.179
4.279 -3.878 -7.348
6.439 -6.425 2.145
Tl In Pb
5 1 7
direct
0.319 0.999 0.607
0.971 0.061 0.390
0.319 0.607 0.999
0.971 0.390 0.061
0.811 0.776 0.776
0.139 0.999 0.999
0.440 0.381 0.381
0.411 0.601 0.601
0.955 0.377 0.721
0.955 0.721 0.377
0.539 0.148 0.148
0.584 0.757 0.183
0.584 0.183 0.757
```

energy relative to the elements: 53 kJ/mol of formula units
Fermi-level density of states: 5.3 states/eV/f.u.

=====

No. 10
# Li2HoSn2

A geometry-optimized Li2HoSn2 structure (PBE-GGA, Alexandria).

```
Li2HoSn2
1.0
4.574 0.000 0.000
-2.287 3.738 -1.272
0.000 -0.438 6.819
Li Ho Sn
2 1 2
direct
0.312 0.124 0.437
0.688 0.876 0.563
0.500 0.500 0.000
0.077 0.655 0.731
0.923 0.345 0.269
```

energy relative to the elements: -234 kJ/mol of formula units
Fermi-level density of states: 1.8 states/eV/f.u.
energy above the lowest structure with this stoichiometry: 0.0 meV/atom